No. 1
A plane-wave DFT calculation with PBE was carried out for a relaxed structure of Cd4TeOs. Values from VASP.

Results
The value obtained for the formation energy from raw total energies is 0.688 eV per atom. The calculation puts the density of states at the Fermi level at 1.04 states/eV/cell. Its symmetry is F-43m.

Geometry as Quantum ESPRESSO input:
```
&SYSTEM
  ibrav = 0, nat = 6, ntyp = 3
/
ATOMIC_SPECIES
Cd 112.41 Cd.upf
Os 190.23 Os.upf
Te 127.60 Te.upf
ATOMIC_POSITIONS angstrom
Cd 2.990 2.990 2.990
Cd 4.968 2.990 4.968
Cd 2.990 4.968 4.968
Cd 4.968 4.968 2.990
Os 5.968 5.968 5.968
Te 0.000 0.000 0.000
CELL_PARAMETERS angstrom
0.000 3.979 3.979
3.979 0.000 3.979
3.979 3.979 0.000
```


No. 2
A plane-wave DFT calculation with PBE was carried out for a relaxed structure of CdTeOs2. Values from VASP.

Results
The value obtained for the formation energy from raw total energies is 1.098 eV per atom. The energy above the lowest structure with this stoichiometry is 661.4 meV per atom. The calculation puts the density of states at the Fermi level at 4.51 states/eV/cell. Its symmetry is F-43m.

Geometry as Quantum ESPRESSO input:
```
&SYSTEM
  ibrav = 0, nat = 4, ntyp = 3
/
ATOMIC_SPECIES
Cd 112.41 Cd.upf
Te 127.60 Te.upf
Os 190.23 Os.upf
ATOMIC_POSITIONS angstrom
Cd 4.670 2.696 1.907
Te 7.006 4.045 2.860
Os 2.335 1.348 0.953
Os 0.000 0.000 0.000
CELL_PARAMETERS angstrom
4.670 0.000 0.000
2.335 4.045 0.000
2.335 1.348 3.813
```


No. 3
A plane-wave DFT calculation with PBE was carried out for a relaxed structure of CdTe2Os. Values from VASP.

Results
The value obtained for the formation energy from raw total energies is 0.862 eV per atom. The calculation puts the density of states at the Fermi level at 3.03 states/eV/cell. Its symmetry is I-4m2.

Geometry as Quantum ESPRESSO input:
```
&SYSTEM
  ibrav = 0, nat = 4, ntyp = 3
/
ATOMIC_SPECIES
Te 127.60 Te.upf
Os 190.23 Os.upf
Cd 112.41 Cd.upf
ATOMIC_POSITIONS angstrom
Te 0.000 0.000 0.000
Te 1.948 -0.736 2.360
Os -0.498 1.084 2.912
Cd -0.429 -1.825 4.112
CELL_PARAMETERS angstrom
-2.875 -0.006 4.664
2.016 -3.645 3.560
2.308 3.998 -2.951
```


No. 4
A plane-wave DFT calculation with PBE was carried out for a relaxed structure of CdTeOs2. Values from VASP.

Results
The value obtained for the formation energy from raw total energies is 1.079 eV per atom. The energy above the lowest structure with this stoichiometry is 641.5 meV per atom. The calculation puts the density of states at the Fermi level at 3.96 states/eV/cell. Its symmetry is Cmmm.

Geometry as Quantum ESPRESSO input:
```
&SYSTEM
  ibrav = 0, nat = 4, ntyp = 3
/
ATOMIC_SPECIES
Os 190.23 Os.upf
Te 127.60 Te.upf
Cd 112.41 Cd.upf
ATOMIC_POSITIONS angstrom
Os 0.000 0.000 0.006
Os 0.000 0.000 4.785
Te 0.758 1.279 2.396
Cd 0.758 1.279 7.187
CELL_PARAMETERS angstrom
2.931 -0.009 0.000
-1.416 2.566 0.000
0.000 0.000 9.582
```


No. 5
A plane-wave DFT calculation with PBE was carried out for a relaxed structure of CdTe2Os. Values from VASP.

Results
The value obtained for the formation energy from raw total energies is 0.929 eV per atom. The calculation puts the density of states at the Fermi level at 2.63 states/eV/cell. Its symmetry is Pmmm.

Geometry as Quantum ESPRESSO input:
```
&SYSTEM
  ibrav = 0, nat = 4, ntyp = 3
/
ATOMIC_SPECIES
Os 190.23 Os.upf
Te 127.60 Te.upf
Cd 112.41 Cd.upf
ATOMIC_POSITIONS angstrom
Os 3.353 -0.221 -0.890
Te 0.000 0.000 0.000
Te 1.079 -0.560 -2.844
Cd 1.546 -2.590 -0.061
CELL_PARAMETERS angstrom
-0.728 -2.930 -2.016
2.885 1.809 -3.672
3.820 -2.251 1.893
```


No. 6
A plane-wave DFT calculation with PBE was carried out for a relaxed structure of CdTeOs2. Values from VASP.

Results
The value obtained for the formation energy from raw total energies is 1.097 eV per atom. The energy above the lowest structure with this stoichiometry is 659.5 meV per atom. The calculation puts the density of states at the Fermi level at 4.11 states/eV/cell. Its symmetry is Pmmm.

Geometry as Quantum ESPRESSO input:
```
&SYSTEM
  ibrav = 0, nat = 4, ntyp = 3
/
ATOMIC_SPECIES
Cd 112.41 Cd.upf
Os 190.23 Os.upf
Te 127.60 Te.upf
ATOMIC_POSITIONS angstrom
Cd 0.000 2.511 2.387
Os 1.507 2.511 0.000
Os 0.000 0.000 0.000
Te 1.507 0.000 2.387
CELL_PARAMETERS angstrom
3.013 0.000 0.000
0.000 5.022 0.000
0.000 0.000 4.774
```


No. 7
A plane-wave DFT calculation with PBE was carried out for a relaxed structure of CdTeOs2. Values from VASP.

Results
The value obtained for the formation energy from raw total energies is 0.566 eV per atom. The energy above the lowest structure with this stoichiometry is 128.5 meV per atom. The calculation puts the density of states at the Fermi level at 2.42 states/eV/cell. Its symmetry is R3m.

Geometry as Quantum ESPRESSO input:
```
&SYSTEM
  ibrav = 0, nat = 4, ntyp = 3
/
ATOMIC_SPECIES
Te 127.60 Te.upf
Os 190.23 Os.upf
Cd 112.41 Cd.upf
ATOMIC_POSITIONS angstrom
Te -5.375 -3.456 -15.271
Os -10.254 -6.594 -29.135
Os -2.699 -1.736 -7.670
Cd -7.602 -4.888 -21.598
CELL_PARAMETERS angstrom
-2.202 -1.293 -10.476
-3.224 -3.875 -9.532
-4.947 -1.502 -9.462
```


No. 8
A plane-wave DFT calculation with PBE was carried out for a relaxed structure of CdTe2Os. Values from VASP.

Results
The value obtained for the formation energy from raw total energies is 0.765 eV per atom. The calculation puts the density of states at the Fermi level at 5.46 states/eV/cell. Its symmetry is P4/mmm.

Geometry as Quantum ESPRESSO input:
```
&SYSTEM
  ibrav = 0, nat = 4, ntyp = 3
/
ATOMIC_SPECIES
Te 127.60 Te.upf
Os 190.23 Os.upf
Cd 112.41 Cd.upf
ATOMIC_POSITIONS angstrom
Te 0.000 0.000 0.000
Te -1.830 -1.661 2.600
Os -3.005 -0.453 0.070
Cd -0.478 -2.994 0.225
CELL_PARAMETERS angstrom
-1.653 -1.786 -2.305
0.697 -4.202 2.755
-4.357 0.880 2.444
```


No. 9
A plane-wave DFT calculation with PBE was carried out for a relaxed structure of CdTe2Os. Values from VASP.

Results
The value obtained for the formation energy from raw total energies is 0.422 eV per atom. The calculation puts the density of states at the Fermi level at 2.90 states/eV/cell. Its symmetry is Imm2.

Geometry as Quantum ESPRESSO input:
```
&SYSTEM
  ibrav = 0, nat = 4, ntyp = 3
/
ATOMIC_SPECIES
Cd 112.41 Cd.upf
Te 127.60 Te.upf
Os 190.23 Os.upf
ATOMIC_POSITIONS angstrom
Cd 5.255 2.225 0.000
Te 4.092 -0.310 1.310
Te 0.807 0.342 0.000
Os 2.418 2.012 1.307
CELL_PARAMETERS angstrom
7.185 0.011 0.003
5.009 5.152 -0.003
-5.718 -3.476 2.617
```


No. 10
A plane-wave DFT calculation with PBE was carried out for a relaxed structure of CdTe2Os. Values from VASP.

Results
The value obtained for the formation energy from raw total energies is 0.200 eV per atom. The calculation puts the density of states at the Fermi level at 3.95 states/eV/cell. Its symmetry is C2/m.

Geometry as Quantum ESPRESSO input:
```
&SYSTEM
  ibrav = 0, nat = 4, ntyp = 3
/
ATOMIC_SPECIES
Cd 112.41 Cd.upf
Te 127.60 Te.upf
Os 190.23 Os.upf
ATOMIC_POSITIONS angstrom
Cd 5.963 3.465 5.657
Te 5.972 3.470 0.544
Te 3.966 2.304 3.306
Os 1.988 1.155 1.886
CELL_PARAMETERS angstrom
3.986 0.003 0.040
1.977 3.461 0.040
1.987 1.155 7.464
```


No. 11
A plane-wave DFT calculation with PBE was carried out for a relaxed structure of CdTeOs2. Values from VASP.

Results
The value obtained for the formation energy from raw total energies is 0.836 eV per atom. The energy above the lowest structure with this stoichiometry is 398.5 meV per atom. The calculation puts the density of states at the Fermi level at 1.54 states/eV/cell. Its symmetry is Fm-3m.

Geometry as Quantum ESPRESSO input:
```
&SYSTEM
  ibrav = 0, nat = 4, ntyp = 3
/
ATOMIC_SPECIES
Os 190.23 Os.upf
Cd 112.41 Cd.upf
Te 127.60 Te.upf
ATOMIC_POSITIONS angstrom
Os 1.624 1.624 1.624
Os 4.873 4.873 4.873
Cd 0.000 0.000 0.000
Te 3.249 3.249 3.249
CELL_PARAMETERS angstrom
0.000 3.249 3.249
3.249 0.000 3.249
3.249 3.249 0.000
```


No. 12
A plane-wave DFT calculation with PBE was carried out for a relaxed structure of CdTeOs2. Values from VASP.

Results
The value obtained for the formation energy from raw total energies is 0.507 eV per atom. The energy above the lowest structure with this stoichiometry is 69.5 meV per atom. The calculation puts the density of states at the Fermi level at 4.32 states/eV/cell. Its symmetry is P4mm.

Geometry as Quantum ESPRESSO input:
```
&SYSTEM
  ibrav = 0, nat = 4, ntyp = 3
/
ATOMIC_SPECIES
Cd 112.41 Cd.upf
Te 127.60 Te.upf
Os 190.23 Os.upf
ATOMIC_POSITIONS angstrom
Cd 3.003 4.478 4.868
Te 2.158 2.953 1.742
Os 0.142 0.194 0.114
Os 0.282 0.756 2.672
CELL_PARAMETERS angstrom
-2.326 0.709 1.679
0.919 -1.895 2.073
4.661 6.378 3.763
```